# 1
Entry from Alexandria via LeMat-Bulk: MgTaAu after structural relaxation (PBE).

The structure in CIF format:
```
data_MgTaAu
_chemical_formula_sum 'Mg2 Ta2 Au2'
_space_group_name_H-M_alt 'P 63/m m c'
_space_group_IT_number 194
_space_group_name_Hall '-P 6c 2c'
_cell_length_a 4.0704
_cell_length_b 4.0704
_cell_length_c 10.7045
_cell_angle_alpha 90.00
_cell_angle_beta 90.00
_cell_angle_gamma 120.00
loop_
_atom_site_label
_atom_site_type_symbol
_atom_site_fract_x
_atom_site_fract_y
_atom_site_fract_z
Mg1 Mg 0.0000 0.0000 0.2500
Ta1 Ta 0.0000 0.0000 0.0000
Au1 Au 0.3333 0.6667 0.2500
```

The value obtained for the formation energy is 1.85 eV per atom. For the density of states at the Fermi level, the calculation gives 5.96 states/eV per cell. As for the total energy: -3.7212 eV per atom. The offset from the most stable computed form is 2.0505 eV per atom.

# 2
Entry from Alexandria via LeMat-Bulk: BaCu3Au after structural relaxation (PBE).

The structure in CIF format:
```
data_BaCu3Au
_chemical_formula_sum 'Ba1 Cu3 Au1'
_space_group_name_H-M_alt 'P m -3 m'
_space_group_IT_number 221
_space_group_name_Hall '-P 4 2 3'
_cell_length_a 4.9366
_cell_length_b 4.9366
_cell_length_c 4.9366
_cell_angle_alpha 90.00
_cell_angle_beta 90.00
_cell_angle_gamma 90.00
loop_
_atom_site_label
_atom_site_type_symbol
_atom_site_fract_x
_atom_site_fract_y
_atom_site_fract_z
Ba1 Ba 0.0000 0.0000 0.0000
Cu1 Cu 0.0000 0.5000 0.5000
Au1 Au 0.5000 0.5000 0.5000
```

The value obtained for the formation energy is 0.10 eV per atom. For the density of states at the Fermi level, the calculation gives 1.38 states/eV per cell. As for the total energy: -3.4012 eV per atom. The offset from the most stable computed form is 0.0000 eV per atom.

# 3
Entry from Alexandria via LeMat-Bulk: CsNaLa2Te4 after structural relaxation (PBE).

The structure in CIF format:
```
data_CsNaLa2Te4
_chemical_formula_sum 'Cs4 Na4 La8 Te16'
_space_group_name_H-M_alt 'C m c m'
_space_group_IT_number 63
_space_group_name_Hall '-C 2c 2'
_cell_length_a 4.8199
_cell_length_b 15.8473
_cell_length_c 16.8272
_cell_angle_alpha 90.00
_cell_angle_beta 90.00
_cell_angle_gamma 90.00
loop_
_atom_site_label
_atom_site_type_symbol
_atom_site_fract_x
_atom_site_fract_y
_atom_site_fract_z
Cs1 Cs 0.0000 0.1148 0.2500
Na1 Na 0.0000 0.1700 0.7500
La1 La 0.0000 0.3694 0.0630
Te1 Te 0.0000 0.0000 0.0000
Te2 Te 0.0000 0.2627 0.5986
Te3 Te 0.0000 0.4332 0.2500
```

As for the total energy: -4.4561 eV per atom. The raw formation energy is -1.38 eV per atom.

# 4
Entry from Alexandria via LeMat-Bulk: GeAuSe2Br after structural relaxation (PBE).

The structure in CIF format:
```
data_GeAuSe2Br
_chemical_formula_sum 'Ge1 Au1 Se2 Br1'
_space_group_name_H-M_alt 'P 4/m m m'
_space_group_IT_number 123
_space_group_name_Hall '-P 4 2'
_cell_length_a 5.1343
_cell_length_b 5.1343
_cell_length_c 5.1337
_cell_angle_alpha 90.00
_cell_angle_beta 90.00
_cell_angle_gamma 90.00
loop_
_atom_site_label
_atom_site_type_symbol
_atom_site_fract_x
_atom_site_fract_y
_atom_site_fract_z
Ge1 Ge 0.0000 0.0000 0.0000
Au1 Au 0.5000 0.5000 0.5000
Se1 Se 0.0000 0.5000 0.5000
Br1 Br 0.5000 0.5000 0.0000
```

For the density of states at the Fermi level, the calculation gives 3.34 states/eV per cell. As for the total energy: -2.8449 eV per atom. The offset from the most stable computed form is 0.0000 eV per atom. The raw formation energy is 0.46 eV per atom.

# 5
Entry from Alexandria via LeMat-Bulk: SmSc2Cd2In2 after structural relaxation (PBE).

The structure in CIF format:
```
data_SmSc2Cd2In2
_chemical_formula_sum 'Sm3 Sc6 Cd6 In6'
_space_group_name_H-M_alt 'R -3 m'
_space_group_IT_number 166
_space_group_name_Hall '-R 3 2"'
_cell_length_a 4.8697
_cell_length_b 4.8697
_cell_length_c 25.3155
_cell_angle_alpha 90.00
_cell_angle_beta 90.00
_cell_angle_gamma 120.00
loop_
_atom_site_label
_atom_site_type_symbol
_atom_site_fract_x
_atom_site_fract_y
_atom_site_fract_z
Sm1 Sm 0.0000 0.0000 0.0000
Sc1 Sc 0.0000 0.0000 0.1365
Cd1 Cd 0.0000 0.0000 0.4353
In1 In 0.0000 0.0000 0.2627
```

The value obtained for the formation energy is -0.25 eV per atom. For the density of states at the Fermi level, the calculation gives 15.62 states/eV per cell. As for the total energy: -3.7795 eV per atom.

# 6
Entry from Alexandria via LeMat-Bulk: SiAgMo2 after structural relaxation (PBE).

The structure in CIF format:
```
data_SiAgMo2
_chemical_formula_sum 'Si2 Ag2 Mo4'
_space_group_name_H-M_alt 'C 1 m 1'
_space_group_IT_number 8
_cell_length_a 9.3018
_cell_length_b 2.7437
_cell_length_c 4.9102
_cell_angle_alpha 90.00
_cell_angle_beta 98.34
_cell_angle_gamma 90.00
loop_
_space_group_symop_operation_xyz
'x,y,z'
'x,-y,z'
'x+1/2,y+1/2,z'
'x+1/2,-y+1/2,z'
loop_
_atom_site_label
_atom_site_type_symbol
_atom_site_fract_x
_atom_site_fract_y
_atom_site_fract_z
Si1 Si 0.0000 0.0000 0.0000
Ag1 Ag 0.2483 0.0000 0.7593
Mo1 Mo 0.2351 0.5000 0.2519
Mo2 Mo 0.4930 0.0000 0.4959
```

For the density of states at the Fermi level, the calculation gives 5.25 states/eV per cell. As for the total energy: -7.1984 eV per atom. The raw formation energy is 0.29 eV per atom.